[1]
# Er2TeO2 SCAN single point on PBEsol structure
# VASP energy: -2.44462 Ry per atom
# Crystal system: hexagonal
# SG: P6_3/mmc (194)
# E_form (uncorrected): -3.1820 eV/atom
data_Er2TeO2
_cell_length_a 3.8189
_cell_length_b 3.8189
_cell_length_c 14.1362
_cell_angle_alpha 90.00
_cell_angle_beta 90.00
_cell_angle_gamma 120.00
_symmetry_space_group_name_H-M 'P 1'
_symmetry_Int_Tables_number 1
loop_
_symmetry_equiv_pos_as_xyz
'x,y,z'
loop_
_atom_site_label
_atom_site_type_symbol
_atom_site_fract_x
_atom_site_fract_y
_atom_site_fract_z
_atom_site_occupancy
Er1 Er 0.3333 0.6667 0.0974 1
Er2 Er 0.3333 0.6667 0.4026 1
Er3 Er 0.6667 0.3333 0.5974 1
Er4 Er 0.6667 0.3333 0.9026 1
Te1 Te 0.0000 0.0000 0.2500 1
Te2 Te 0.0000 0.0000 0.7500 1
O1 O 0.3333 0.6667 0.5602 1
O2 O 0.3333 0.6667 0.9398 1
O3 O 0.6667 0.3333 0.0602 1
O4 O 0.6667 0.3333 0.4398 1



[2]
# ErTiO3 SCAN single point on PBEsol structure
# VASP energy: -1.51313 Ry per atom
# Crystal system: orthorhombic
# SG: Pnma (62)
# E_form (uncorrected): -3.5744 eV/atom
data_ErTiO3
_cell_length_a 5.6341
_cell_length_b 7.5376
_cell_length_c 5.2273
_cell_angle_alpha 90.00
_cell_angle_beta 90.00
_cell_angle_gamma 90.00
_symmetry_space_group_name_H-M 'P 1'
_symmetry_Int_Tables_number 1
loop_
_symmetry_equiv_pos_as_xyz
'x,y,z'
loop_
_atom_site_label
_atom_site_type_symbol
_atom_site_fract_x
_atom_site_fract_y
_atom_site_fract_z
_atom_site_occupancy
Er1 Er 0.0752 0.2500 0.0242 1
Er2 Er 0.4248 0.7500 0.5242 1
Er3 Er 0.5752 0.2500 0.4758 1
Er4 Er 0.9248 0.7500 0.9758 1
Ti1 Ti 0.0000 0.0000 0.5000 1
Ti2 Ti 0.0000 0.5000 0.5000 1
Ti3 Ti 0.5000 0.0000 0.0000 1
Ti4 Ti 0.5000 0.5000 0.0000 1
O1 O 0.0496 0.7500 0.3721 1
O2 O 0.1959 0.5600 0.8128 1
O3 O 0.1959 0.9400 0.8128 1
O4 O 0.3041 0.0600 0.3128 1
O5 O 0.3041 0.4400 0.3128 1
O6 O 0.4504 0.2500 0.8721 1
O7 O 0.5496 0.7500 0.1279 1
O8 O 0.6959 0.5600 0.6872 1
O9 O 0.6959 0.9400 0.6872 1
O10 O 0.8041 0.0600 0.1872 1
O11 O 0.8041 0.4400 0.1872 1
O12 O 0.9504 0.2500 0.6279 1



[3]
# Er2TiO5 SCAN single point on PBEsol structure
# VASP energy: -1.63128 Ry per atom
# Crystal system: orthorhombic
# SG: Cmcm (63)
# ΔE to the lowest computed polymorph: 44 kJ/mol of formula units
# E_form (uncorrected): -3.7113 eV/atom
data_Er2TiO5
_cell_length_a 5.7838
_cell_length_b 5.7838
_cell_length_c 10.3125
_cell_angle_alpha 90.00
_cell_angle_beta 90.00
_cell_angle_gamma 139.49
_symmetry_space_group_name_H-M 'P 1'
_symmetry_Int_Tables_number 1
loop_
_symmetry_equiv_pos_as_xyz
'x,y,z'
loop_
_atom_site_label
_atom_site_type_symbol
_atom_site_fract_x
_atom_site_fract_y
_atom_site_fract_z
_atom_site_occupancy
Er1 Er 0.1431 0.8569 0.5694 1
Er2 Er 0.1431 0.8569 0.9306 1
Er3 Er 0.8569 0.1431 0.0694 1
Er4 Er 0.8569 0.1431 0.4306 1
Ti1 Ti 0.1716 0.8284 0.2500 1
Ti2 Ti 0.8284 0.1716 0.7500 1
O1 O 0.0501 0.9499 0.1227 1
O2 O 0.0501 0.9499 0.3773 1
O3 O 0.2746 0.7254 0.7500 1
O4 O 0.2895 0.7105 0.0906 1
O5 O 0.2895 0.7105 0.4094 1
O6 O 0.7105 0.2895 0.5906 1
O7 O 0.7105 0.2895 0.9094 1
O8 O 0.7254 0.2746 0.2500 1
O9 O 0.9499 0.0501 0.6227 1
O10 O 0.9499 0.0501 0.8773 1



[4]
# Er2TiO5 SCAN single point on PBEsol structure
# VASP energy: -1.63150 Ry per atom
# Crystal system: monoclinic
# SG: C2/c (15)
# ΔE to the lowest computed polymorph: 42 kJ/mol of formula units
# E_form (uncorrected): -3.7145 eV/atom
data_Er2TiO5
_cell_length_a 6.3373
_cell_length_b 6.3373
_cell_length_c 7.3869
_cell_angle_alpha 112.01
_cell_angle_beta 112.01
_cell_angle_gamma 48.31
_symmetry_space_group_name_H-M 'P 1'
_symmetry_Int_Tables_number 1
loop_
_symmetry_equiv_pos_as_xyz
'x,y,z'
loop_
_atom_site_label
_atom_site_type_symbol
_atom_site_fract_x
_atom_site_fract_y
_atom_site_fract_z
_atom_site_occupancy
Er1 Er 0.1263 0.1530 0.2587 1
Er2 Er 0.1530 0.1263 0.7587 1
Er3 Er 0.8470 0.8737 0.2413 1
Er4 Er 0.8737 0.8470 0.7413 1
Ti1 Ti 0.5000 0.5000 0.0000 1
Ti2 Ti 0.5000 0.5000 0.5000 1
O1 O 0.1086 0.7468 0.0414 1
O2 O 0.1796 0.4814 0.3595 1
O3 O 0.2532 0.8914 0.4586 1
O4 O 0.3334 0.6666 0.7500 1
O5 O 0.4814 0.1796 0.8595 1
O6 O 0.5186 0.8204 0.1405 1
O7 O 0.6666 0.3334 0.2500 1
O8 O 0.7468 0.1086 0.5414 1
O9 O 0.8204 0.5186 0.6405 1
O10 O 0.8914 0.2532 0.9586 1



[5]
# Er2TiO5 SCAN single point on PBEsol structure
# VASP energy: -1.63550 Ry per atom
# Crystal system: orthorhombic
# SG: Pnma (62)
# ΔE to the lowest computed polymorph: 0 kJ/mol of formula units
# E_form (uncorrected): -3.7688 eV/atom
data_Er2TiO5
_cell_length_a 7.2249
_cell_length_b 3.5973
_cell_length_c 15.1678
_cell_angle_alpha 90.00
_cell_angle_beta 90.00
_cell_angle_gamma 90.00
_symmetry_space_group_name_H-M 'P 1'
_symmetry_Int_Tables_number 1
loop_
_symmetry_equiv_pos_as_xyz
'x,y,z'
loop_
_atom_site_label
_atom_site_type_symbol
_atom_site_fract_x
_atom_site_fract_y
_atom_site_fract_z
_atom_site_occupancy
Er1 Er 0.0883 0.2500 0.0902 1
Er2 Er 0.1371 0.2500 0.7321 1
Er3 Er 0.3629 0.7500 0.2321 1
Er4 Er 0.4117 0.7500 0.5902 1
Er5 Er 0.5883 0.2500 0.4098 1
Er6 Er 0.6371 0.2500 0.7679 1
Er7 Er 0.8629 0.7500 0.2679 1
Er8 Er 0.9117 0.7500 0.9098 1
Ti1 Ti 0.1267 0.2500 0.4267 1
Ti2 Ti 0.3733 0.7500 0.9267 1
Ti3 Ti 0.6267 0.2500 0.0733 1
Ti4 Ti 0.8733 0.7500 0.5733 1
O1 O 0.0788 0.7500 0.4529 1
O2 O 0.0898 0.7500 0.1784 1
O3 O 0.1069 0.7500 0.6484 1
O4 O 0.1525 0.7500 0.0023 1
O5 O 0.2139 0.7500 0.8297 1
O6 O 0.2861 0.2500 0.3297 1
O7 O 0.3475 0.2500 0.5023 1
O8 O 0.3931 0.2500 0.1484 1
O9 O 0.4102 0.2500 0.6784 1
O10 O 0.4212 0.2500 0.9529 1
O11 O 0.5788 0.7500 0.0471 1
O12 O 0.5898 0.7500 0.3216 1
O13 O 0.6069 0.7500 0.8516 1
O14 O 0.6525 0.7500 0.4977 1
O15 O 0.7139 0.7500 0.6703 1
O16 O 0.7861 0.2500 0.1703 1
O17 O 0.8475 0.2500 0.9977 1
O18 O 0.8931 0.2500 0.3516 1
O19 O 0.9102 0.2500 0.8216 1
O20 O 0.9212 0.2500 0.5471 1



[6]
# YEr3V4O16 SCAN single point on PBEsol structure
# VASP energy: -1.31178 Ry per atom
# Crystal system: orthorhombic
# SG: C222 (21)
# E_form (uncorrected): -3.3262 eV/atom
data_YEr3V4O16
_cell_length_a 5.8807
_cell_length_b 5.8807
_cell_length_c 9.9898
_cell_angle_alpha 90.00
_cell_angle_beta 90.00
_cell_angle_gamma 116.25
_symmetry_space_group_name_H-M 'P 1'
_symmetry_Int_Tables_number 1
loop_
_symmetry_equiv_pos_as_xyz
'x,y,z'
loop_
_atom_site_label
_atom_site_type_symbol
_atom_site_fract_x
_atom_site_fract_y
_atom_site_fract_z
_atom_site_occupancy
Y1 Y 0.0000 0.0000 0.0000 1
Er1 Er 0.0000 0.5000 0.2507 1
Er2 Er 0.5000 0.0000 0.7493 1
Er3 Er 0.5000 0.5000 0.5000 1
V1 V 0.0000 0.0000 0.5000 1
V2 V 0.0000 0.5000 0.7484 1
V3 V 0.5000 0.0000 0.2516 1
V4 V 0.5000 0.5000 0.0000 1
O1 O 0.0833 0.2692 0.4071 1
O2 O 0.0849 0.7693 0.8413 1
O3 O 0.2307 0.9151 0.1587 1
O4 O 0.2317 0.4184 0.0934 1
O5 O 0.2692 0.0833 0.5929 1
O6 O 0.2696 0.5832 0.6559 1
O7 O 0.4168 0.7304 0.3441 1
O8 O 0.4184 0.2317 0.9066 1
O9 O 0.5816 0.7683 0.9066 1
O10 O 0.5832 0.2696 0.3441 1
O11 O 0.7304 0.4168 0.6559 1
O12 O 0.7308 0.9167 0.5929 1
O13 O 0.7683 0.5816 0.0934 1
O14 O 0.7693 0.0849 0.1587 1
O15 O 0.9151 0.2307 0.8413 1
O16 O 0.9167 0.7308 0.4071 1



[7]
# Er4Zr3O12 SCAN single point on PBEsol structure
# VASP energy: -1.71258 Ry per atom
# Crystal system: triclinic
# SG: P-1 (2)
# E_form (uncorrected): -3.9202 eV/atom
data_Er4Zr3O12
_cell_length_a 6.2901
_cell_length_b 6.3532
_cell_length_c 12.6091
_cell_angle_alpha 99.32
_cell_angle_beta 99.27
_cell_angle_gamma 99.41
_symmetry_space_group_name_H-M 'P 1'
_symmetry_Int_Tables_number 1
loop_
_symmetry_equiv_pos_as_xyz
'x,y,z'
loop_
_atom_site_label
_atom_site_type_symbol
_atom_site_fract_x
_atom_site_fract_y
_atom_site_fract_z
_atom_site_occupancy
Er1 Er 0.1130 0.1347 0.4021 1
Er2 Er 0.1899 0.3898 0.6816 1
Er3 Er 0.2023 0.3879 0.1811 1
Er4 Er 0.3581 0.6934 0.9466 1
Er5 Er 0.6419 0.3066 0.0534 1
Er6 Er 0.7977 0.6121 0.8189 1
Er7 Er 0.8101 0.6102 0.3184 1
Er8 Er 0.8870 0.8653 0.5979 1
Zr1 Zr 0.1100 0.1429 0.9043 1
Zr2 Zr 0.3536 0.6760 0.4459 1
Zr3 Zr 0.4923 0.9940 0.7475 1
Zr4 Zr 0.5077 0.0060 0.2525 1
Zr5 Zr 0.6464 0.3240 0.5541 1
Zr6 Zr 0.8900 0.8571 0.0957 1
O1 O 0.0652 0.8305 0.9618 1
O2 O 0.0712 0.4187 0.8420 1
O3 O 0.0863 0.8193 0.4621 1
O4 O 0.0903 0.4325 0.3416 1
O5 O 0.1780 0.0588 0.7172 1
O6 O 0.1831 0.0395 0.2057 1
O7 O 0.3158 0.4074 0.0293 1
O8 O 0.3263 0.4230 0.5338 1
O9 O 0.4262 0.0752 0.9074 1
O10 O 0.4257 0.6919 0.2907 1
O11 O 0.4275 0.6809 0.7789 1
O12 O 0.4660 0.1041 0.4114 1
O13 O 0.5340 0.8959 0.5886 1
O14 O 0.5725 0.3191 0.2211 1
O15 O 0.5743 0.3081 0.7093 1
O16 O 0.5738 0.9248 0.0926 1
O17 O 0.6737 0.5770 0.4662 1
O18 O 0.6842 0.5926 0.9707 1
O19 O 0.8169 0.9605 0.7943 1
O20 O 0.8220 0.9412 0.2828 1
O21 O 0.9097 0.5675 0.6584 1
O22 O 0.9137 0.1807 0.5379 1
O23 O 0.9288 0.5813 0.1580 1
O24 O 0.9348 0.1695 0.0382 1



Among the records above, which one has the lowest VASP energy? Er2TeO2



E_form (uncorrected) of number 7 (Er4Zr3O12)? -3.9202 eV/atom



Which of these has the lowest VASP energy? Er2TeO2